A relaxed structure of PuScO4. Source: Alexandria via LeMat-Bulk, functional PBE.

It has space group I4_1/amd (No. 141, origin choice 2), with a = 5.1804 Å, b = 5.1804 Å, c = 10.4250 Å, α = 90.00°, β = 90.00° and γ = 90.00°. The distinct sites, in fractional coordinates, are Pu at (0.0000, 0.2500, 0.3750), Sc at (0.0000, 0.2500, 0.8750) and O at (0.2495, 0.0000, 0.0000).

Its total energy is -9.799 eV/atom. The calculation puts the uncorrected formation energy at -3.0492 eV per atom.



A relaxed structure of Li2LaPd. Source: Alexandria via LeMat-Bulk, functional PBE.

It has space group R-3m (No. 166, hexagonal axes), with a = 3.0727 Å, b = 3.0727 Å, c = 31.1464 Å, α = 90.00°, β = 90.00° and γ = 120.00°. The distinct sites, in fractional coordinates, are Li at (0.0000, 0.0000, 0.1054), La at (0.0000, 0.0000, 0.0000) and Pd at (0.0000, 0.0000, 0.5000).

The energy of formation from the pure elements comes out at 14 meV/atom. Its total energy is -3.473 eV/atom. For the offset from the most stable computed form, the calculation gives 364.3 meV/atom.



A relaxed structure of Y4Hg2Te5. Source: Alexandria via LeMat-Bulk, functional PBE.

It has space group C2/m (No. 12), with a = 24.6654 Å, b = 4.1030 Å, c = 7.1419 Å, α = 90.00°, β = 98.17° and γ = 90.00°. The distinct sites, in fractional coordinates, are Y at (0.0399, 0.0000, 0.3132), Y at (0.0953, 0.5000, 0.7414), Hg at (0.1378, 0.0000, 0.0720), Te at (0.0000, 0.5000, 0.0000), Te at (0.1555, 0.0000, 0.5178) and Te at (0.2244, 0.5000, 0.8523).

Its total energy is -4.416 eV/atom. The calculation puts the uncorrected formation energy at -0.5825 eV per atom.



A relaxed structure of K2Rb3Cd4Hg2. Source: Alexandria via LeMat-Bulk, functional PBE.

It has space group I4/mmm (No. 139), with a = 5.6544 Å, b = 5.6544 Å, c = 29.5825 Å, α = 90.00°, β = 90.00° and γ = 90.00°. The distinct sites, in fractional coordinates, are K at (0.0000, 0.0000, 0.1668), Rb at (0.0000, 0.0000, 0.3162), Rb at (0.0000, 0.0000, 0.5000), Cd at (0.0000, 0.5000, 0.0908) and Hg at (0.0000, 0.0000, 0.0500).

The energy of formation from the pure elements comes out at -33 meV/atom. Its total energy is -0.884 eV/atom.



A relaxed structure of UCdGa2. Source: Alexandria via LeMat-Bulk, functional PBE.

It has space group P4/mmm (No. 123), with a = 2.8520 Å, b = 2.8520 Å, c = 9.6441 Å, α = 90.00°, β = 90.00° and γ = 90.00°. The distinct sites, in fractional coordinates, are U at (0.0000, 0.0000, 0.0000), Cd at (0.0000, 0.0000, 0.5000) and Ga at (0.5000, 0.5000, 0.2430).

The energy of formation from the pure elements comes out at 37 meV/atom. Its total energy is -4.527 eV/atom. For the offset from the most stable computed form, the calculation gives 23.6 meV/atom.



A relaxed structure of NpIn2PtO8. Source: Alexandria via LeMat-Bulk, functional PBE.

It has space group P2/m (No. 10), with a = 4.9602 Å, b = 6.4651 Å, c = 5.0012 Å, α = 90.00°, β = 92.51° and γ = 90.00°. The distinct sites, in fractional coordinates, are Np at (0.0000, 0.0000, 0.0000), In at (0.5000, 0.2596, 0.5000), Pt at (0.0000, 0.5000, 0.0000), O at (0.1882, 0.2532, 0.8226), O at (0.2876, 0.5000, 0.3020) and O at (0.2959, 0.0000, 0.3051).

Its total energy is -6.975 eV/atom. The calculation puts the uncorrected formation energy at -1.6309 eV per atom.



A relaxed structure of Mg2CrMoN4. Source: Alexandria via LeMat-Bulk, functional PBE.

It has space group P2/m (No. 10), with a = 5.1165 Å, b = 2.9942 Å, c = 5.3668 Å, α = 90.00°, β = 108.34° and γ = 90.00°. The distinct sites, in fractional coordinates, are Mg at (0.0000, 0.0000, 0.0000), Mg at (0.5000, 0.5000, 0.0000), Cr at (0.0000, 0.5000, 0.5000), Mo at (0.5000, 0.0000, 0.5000), N at (0.2430, 0.0000, 0.7333) and N at (0.2501, 0.5000, 0.2603).

Its total energy is -7.761 eV/atom. The calculation puts the uncorrected formation energy at -0.6426 eV per atom.



A relaxed structure of Nd4Al2Br5. Source: Alexandria via LeMat-Bulk, functional PBE.

It has space group C2/m (No. 12), with a = 24.5183 Å, b = 3.9301 Å, c = 8.8866 Å, α = 90.00°, β = 98.42° and γ = 90.00°. The distinct sites, in fractional coordinates, are Nd at (0.0209, 0.0000, 0.2749), Nd at (0.1647, 0.5000, 0.4478), Al at (0.0521, 0.5000, 0.5481), Br at (0.0000, 0.5000, 0.0000), Br at (0.1374, 0.0000, 0.1974) and Br at (0.2216, 0.0000, 0.6715).

Its total energy is -4.291 eV/atom. The calculation puts the uncorrected formation energy at -1.1163 eV per atom.



A relaxed structure of Fe3Co. Source: Alexandria via LeMat-Bulk, functional PBE.

It has space group P-1 (No. 2), with a = 4.7315 Å, b = 4.7333 Å, c = 4.9345 Å, α = 99.98°, β = 100.06° and γ = 117.08°. The distinct sites, in fractional coordinates, are Fe at (0.9998, 0.2470, 0.3738), Fe at (0.4955, 0.7491, 0.3743), Fe at (0.4993, 0.2509, 0.1253) and Co at (0.0004, 0.2497, 0.8738).

The energy of formation from the pure elements comes out at -33 meV/atom. Its total energy is -8.156 eV/atom.



A relaxed structure of NdMgGa4Pd2. Source: Alexandria via LeMat-Bulk, functional PBE.

It has space group R-3m (No. 166, hexagonal axes), with a = 4.3808 Å, b = 4.3808 Å, c = 26.8275 Å, α = 90.00°, β = 90.00° and γ = 120.00°. The distinct sites, in fractional coordinates, are Nd at (0.0000, 0.0000, 0.0000), Mg at (0.0000, 0.0000, 0.5000), Ga at (0.0000, 0.0000, 0.1209), Ga at (0.0000, 0.0000, 0.3961) and Pd at (0.0000, 0.0000, 0.2298).

The energy of formation from the pure elements comes out at -565 meV/atom. Its total energy is -4.172 eV/atom.



A relaxed structure of Pm2Pr6Mg. Source: Alexandria via LeMat-Bulk, functional PBE.

It has space group P4_2/mnm (No. 136), with a = 10.9256 Å, b = 10.9256 Å, c = 5.2025 Å, α = 90.00°, β = 90.00° and γ = 90.00°. The distinct sites, in fractional coordinates, are Pm at (0.1669, 0.1669, 0.0000), Pr at (0.0007, 0.3308, 0.5000), Pr at (0.1645, 0.8355, 0.0000) and Mg at (0.0000, 0.0000, 0.5000).

The energy of formation from the pure elements comes out at 15 meV/atom. Its total energy is -4.405 eV/atom. For the offset from the most stable computed form, the calculation gives 0.0 meV/atom.